Computed, not measured: a relaxed Y6VO12 crystal at the PBE+U level of DFT.

POSCAR file:
```
Y6VO12
1.0
6.3372 0.2176 -1.1300
-1.3857 6.1877 -1.1300
0.1682 0.2176 6.4349
Y V O
6 1 12
direct
0.1388 0.2977 0.6119
0.7023 0.3881 0.8612
0.3881 0.8612 0.7023
0.8612 0.7023 0.3881
0.2977 0.6119 0.1388
0.6119 0.1388 0.2977
0.0000 0.0000 0.0000
0.4398 0.1774 0.5895
0.1774 0.5895 0.4398
0.5895 0.4398 0.1774
0.5602 0.8226 0.4105
0.8226 0.4105 0.5602
0.4105 0.5602 0.8226
0.0347 0.9327 0.7050
0.2950 0.9653 0.0673
0.0673 0.2950 0.9653
0.9653 0.0673 0.2950
0.7050 0.0347 0.9327
0.9327 0.7050 0.0347
```

DOS at the Fermi energy: 8.833 states/eV/cell
crystal system: trigonal
E_tot: -165.0 eV per cell